[1]
MnCo2Pb | GGA-PBEsol | optimized geometry

a = 2.9425 Å, b = 2.9425 Å, c = 23.5229 Å
α = 90.00°, β = 90.00°, γ = 120.00°
Space group R-3m (No. 166, hexagonal axes)
Symmetry-distinct sites (fractional):
Mn1 0.0000 0.0000 0.0000
Co1 0.0000 0.0000 0.2612
Pb1 0.0000 0.0000 0.5000

=====

[2]
MnCo3Pb | GGA-PBEsol | optimized geometry

a = 4.1927 Å, b = 4.1927 Å, c = 4.1927 Å
α = 90.00°, β = 90.00°, γ = 90.00°
Space group Pm-3m (No. 221)
Symmetry-distinct sites (fractional):
Mn1 0.0000 0.0000 0.0000
Co1 0.0000 0.0000 0.5000
Pb1 0.5000 0.5000 0.5000

=====

[3]
MnCo2Pd | GGA-PBEsol | optimized geometry

a = 5.7993 Å, b = 5.7993 Å, c = 5.7993 Å
α = 90.00°, β = 90.00°, γ = 90.00°
Space group Fm-3m (No. 225)
Symmetry-distinct sites (fractional):
Mn1 0.0000 0.0000 0.0000
Co1 0.2500 0.2500 0.2500
Pd1 0.0000 0.0000 0.5000

=====

What did we get for electronic total energy? Answer: -79.28, -31.61, -121.17 eV/cell, in the order shown.